Entry 1:
# YCuC2

A geometry-optimized YCuC2 structure (PBE-GGA, the Alexandria database).

abc: 4.0428 4.0428 12.8473
angles: 90.00 90.00 90.00
With the nearest neighbours (Å) after each atom.
Space group I-42d (No. 122)
One atom of each set of equivalent atoms:
Y (0.0000, 0.0000, 0.0000) (multiplicity 4)  4 C 2.51
Cu (0.0000, 0.0000, 0.5000) (multiplicity 4)  4 C 1.93
C (0.0922, 0.2500, 0.6250) (multiplicity 8)  2 Cu 1.93, 2 C 2.15

Summary:
DOS at the Fermi energy = 0.959 states/eV per cell
energy relative to the elements = 0.743 eV/atom
uncorrected energy = -6.509 eV/atom
M_tot = 0.00 μB/f.u.


Entry 2:
# Y2ZnCuC

A geometry-optimized Y2ZnCuC structure (PBE-GGA, the Alexandria database).

abc: 4.9696 4.9696 3.8318
angles: 90.00 90.00 90.00
With the nearest neighbours (Å) after each atom.
Space group P4/mmm (No. 123)
One atom of each set of equivalent atoms:
Y (0.0000, 0.5000, 0.0000) (multiplicity 2)  2 C 2.48
Zn (0.0000, 0.0000, 0.5000) (multiplicity 1)  8 Y 3.14, 4 Cu 3.51
Cu (0.5000, 0.5000, 0.5000) (multiplicity 1)  2 C 1.92
C (0.5000, 0.5000, 0.0000) (multiplicity 1)  2 Cu 1.92

Summary:
DOS at the Fermi energy = 3.569 states/eV per cell
energy relative to the elements = -0.183 eV/atom
distance to the lowest polymorph of the same formula = 0.00 eV/f.u.
uncorrected energy = -5.688 eV/atom
M_tot = 0.00 μB/f.u.


Entry 3:
# Y2ZnCuC

A geometry-optimized Y2ZnCuC structure (PBE-GGA, the Alexandria database).

abc: 4.9367 4.9367 3.9125
angles: 90.00 90.00 90.00
With the nearest neighbours (Å) after each atom.
Space group P4/mmm (No. 123)
One atom of each set of equivalent atoms:
Y (0.0000, 0.5000, 0.0000) (multiplicity 2)  2 C 2.47
Zn (0.0000, 0.0000, 0.5000) (multiplicity 1)  2 C 1.96
Cu (0.5000, 0.5000, 0.5000) (multiplicity 1)  8 Y 3.15, 4 Zn 3.49
C (0.0000, 0.0000, 0.0000) (multiplicity 1)  2 Zn 1.96

Summary:
DOS at the Fermi energy = 3.857 states/eV per cell
energy relative to the elements = -0.102 eV/atom
distance to the lowest polymorph of the same formula = 0.40 eV/f.u.
uncorrected energy = -5.607 eV/atom
M_tot = 0.00 μB/f.u.


Entry 4:
# YZr2CuC

A geometry-optimized YZr2CuC structure (PBE-GGA, the Alexandria database).

abc: 5.2039 5.2039 4.6401
angles: 90.00 90.00 90.00
With the nearest neighbours (Å) after each atom.
Space group P4/mmm (No. 123)
One atom of each set of equivalent atoms:
Y (0.0000, 0.0000, 0.0000) (multiplicity 1)  2 Cu 2.32
Zr (0.0000, 0.5000, 0.0000) (multiplicity 2)  2 Y 2.60
Cu (0.0000, 0.0000, 0.5000) (multiplicity 1)  2 Y 2.32
C (0.5000, 0.5000, 0.5000) (multiplicity 1)  8 Zr 3.49, 4 Cu 3.68

Summary:
DOS at the Fermi energy = 5.614 states/eV per cell
energy relative to the elements = 2.615 eV/atom
uncorrected energy = -4.761 eV/atom
M_tot = 1.14 μB/f.u.


Entry 5:
# ZnCuC3

A geometry-optimized ZnCuC3 structure (PBE-GGA, the Alexandria database).

abc: 3.8722 3.8722 3.8722
angles: 90.00 90.00 90.00
With the nearest neighbours (Å) after each atom.
Space group Pm-3m (No. 221)
One atom of each set of equivalent atoms:
Zn (0.0000, 0.0000, 0.0000) (multiplicity 1)  12 C 2.74
Cu (0.5000, 0.5000, 0.5000) (multiplicity 1)  6 C 1.94
C (0.0000, 0.5000, 0.5000) (multiplicity 3)  2 Cu 1.94

Summary:
DOS at the Fermi energy = 3.332 states/eV per cell
energy relative to the elements = 2.682 eV/atom
distance to the lowest polymorph of the same formula = 0.00 eV/f.u.
uncorrected energy = -3.927 eV/atom
M_tot = 0.00 μB/f.u.


Entry 6:
# ZnCuC3

A geometry-optimized ZnCuC3 structure (PBE-GGA, the Alexandria database).

abc: 3.9275 3.9275 3.9275
angles: 90.00 90.00 90.00
With the nearest neighbours (Å) after each atom.
Space group Pm-3m (No. 221)
One atom of each set of equivalent atoms:
Zn (0.0000, 0.0000, 0.0000) (multiplicity 1)  6 C 1.96
Cu (0.5000, 0.5000, 0.5000) (multiplicity 1)  12 C 2.78
C (0.0000, 0.0000, 0.5000) (multiplicity 3)  2 Zn 1.96

Summary:
DOS at the Fermi energy = 2.676 states/eV per cell
energy relative to the elements = 2.981 eV/atom
distance to the lowest polymorph of the same formula = 1.50 eV/f.u.
uncorrected energy = -3.627 eV/atom
M_tot = 0.00 μB/f.u.


Entry 7:
# ZnCu2C

A geometry-optimized ZnCu2C structure (PBE-GGA, the Alexandria database).

abc: 5.6255 5.6255 5.6255
angles: 90.00 90.00 90.00
With the nearest neighbours (Å) after each atom.
Space group Fm-3m (No. 225)
One atom of each set of equivalent atoms:
Zn (0.0000, 0.0000, 0.0000) (multiplicity 4)  8 Cu 2.44
Cu (0.2500, 0.2500, 0.2500) (multiplicity 8)  4 C 2.44, 4 Zn 2.44
C (0.0000, 0.0000, 0.5000) (multiplicity 4)  8 Cu 2.44

Summary:
DOS at the Fermi energy = 4.119 states/eV per cell
energy relative to the elements = 1.074 eV/atom
distance to the lowest polymorph of the same formula = 0.81 eV/f.u.
uncorrected energy = -3.599 eV/atom
M_tot = 0.00 μB/f.u.


Entry 8:
# ZnCu2C

A geometry-optimized ZnCu2C structure (PBE-GGA, the Alexandria database).

abc: 4.3968 4.3968 12.0312
angles: 90.00 90.00 90.00
With the nearest neighbours (Å) after each atom.
Space group I-42d (No. 122)
One atom of each set of equivalent atoms:
Zn (0.0000, 0.0000, 0.0000) (multiplicity 4)  4 Cu 2.57
Cu (0.0957, 0.2500, 0.6250) (multiplicity 8)  2 C 1.91
C (0.0000, 0.0000, 0.5000) (multiplicity 4)  4 Cu 1.91

Summary:
DOS at the Fermi energy = 6.179 states/eV per cell
energy relative to the elements = 0.872 eV/atom
distance to the lowest polymorph of the same formula = 0.00 eV/f.u.
uncorrected energy = -3.800 eV/atom
M_tot = 0.00 μB/f.u.


Entry 9:
# Zr4CuC

A geometry-optimized Zr4CuC structure (PBE-GGA, the Alexandria database).

abc: 6.1021 6.0514 6.2138
angles: 90.00 98.23 90.00
With the nearest neighbours (Å) after each atom.
Space group P2_1/c (No. 14)
One atom of each set of equivalent atoms:
Zr (0.1162, 0.1647, 0.1951) (multiplicity 4)  2 C 2.34-2.42
Zr (0.3308, 0.6411, 0.1007) (multiplicity 4)  1 C 2.20
Cu (0.5000, 0.0000, 0.0000) (multiplicity 2)  4 Zr 2.52-2.69
C (0.0000, 0.0000, 0.5000) (multiplicity 2)  6 Zr 2.20-2.42

Summary:
DOS at the Fermi energy = 12.911 states/eV per cell
energy relative to the elements = -0.157 eV/atom
uncorrected energy = -8.076 eV/atom
M_tot = 0.00 μB/f.u.


Entry 10:
# Zr6Cu3C

A geometry-optimized Zr6Cu3C structure (PBE-GGA, the Alexandria database).

abc: 5.8087 7.1019 10.3577
angles: 90.00 119.08 90.00
With the nearest neighbours (Å) after each atom.
Space group P2_1/c (No. 14)
One atom of each set of equivalent atoms:
Zr (0.0754, 0.0445, 0.2348) (multiplicity 4)  1 C 2.27
Zr (0.1875, 0.7079, 0.0661) (multiplicity 4)  1 C 2.29
Zr (0.3891, 0.1504, 0.0572) (multiplicity 4)  1 C 2.30
Cu (0.3289, 0.1179, 0.7402) (multiplicity 4)  6 Zr 2.66-2.82
Cu (0.5000, 0.0000, 0.5000) (multiplicity 2)  6 Zr 2.67-2.70
C (0.0000, 0.0000, 0.0000) (multiplicity 2)  6 Zr 2.27-2.30

Summary:
DOS at the Fermi energy = 19.928 states/eV per cell
energy relative to the elements = -0.152 eV/atom
uncorrected energy = -7.432 eV/atom
M_tot = 0.00 μB/f.u.


Entry 11:
# Zr4Cu2C

A geometry-optimized Zr4Cu2C structure (PBE-GGA, the Alexandria database).

abc: 12.4507 12.4507 12.4507
angles: 90.00 90.00 90.00
With the nearest neighbours (Å) after each atom.
Space group Fd-3m (No. 227, origin choice 2)
One atom of each set of equivalent atoms:
Zr (0.0000, 0.0000, 0.0000) (multiplicity 16)  6 Cu 2.69
Zr (0.0572, 0.3750, 0.8750) (multiplicity 48)  2 C 2.31
Cu (0.0429, 0.0429, 0.2071) (multiplicity 32)  6 Zr 2.69-2.96, 3 Cu 2.89
C (0.0000, 0.0000, 0.5000) (multiplicity 16)  6 Zr 2.31

Summary:
DOS at the Fermi energy = 98.796 states/eV per cell
energy relative to the elements = -0.338 eV/atom
uncorrected energy = -7.711 eV/atom
M_tot = 0.00 μB/f.u.


Entry 12:
# ZrCu2C

A geometry-optimized ZrCu2C structure (PBE-GGA, the Alexandria database).

abc: 4.1630 4.1630 13.3221
angles: 90.00 90.00 90.00
With the nearest neighbours (Å) after each atom.
Space group I-42d (No. 122)
One atom of each set of equivalent atoms:
Zr (0.0000, 0.0000, 0.0000) (multiplicity 4)  4 Cu 2.63, 4 C 2.94
Cu (0.0784, 0.7500, 0.6250) (multiplicity 8)  2 C 1.99, 2 Cu 2.18
C (0.0000, 0.0000, 0.5000) (multiplicity 4)  4 Cu 1.99

Summary:
DOS at the Fermi energy = 6.008 states/eV per cell
energy relative to the elements = 0.649 eV/atom
uncorrected energy = -5.842 eV/atom
M_tot = 0.00 μB/f.u.